Cs3LiI4 | PBE | relaxed

Values from the calculation:
- Relative energy among the computed polymorphs: 0.000 eV/atom
- SG: No. 11
- Formation energy (no corrections): -1.45 eV/atom
- VASP energy: -2.78 eV per atom

Structure (extended XYZ):
```
16
Lattice="-4.2831 -6.0640 -5.6567 4.2009 -0.1194 -3.0529 8.4888 -13.2596 7.7868" Properties=species:S:1:pos:R:3 pbc="T T T"
Cs 1.8161 -10.6477 -1.5110
Cs 6.5904 -8.7952 0.5883
Cs 5.7091 -14.4342 -0.3995
Cs 2.6974 -5.0087 -0.5232
Cs 2.1004 -0.0597 -1.5264
Cs -0.0411 -3.0917 -4.3548
I 6.1449 -8.5289 4.3874
I 4.3459 -7.9630 -2.5574
I 2.2616 -10.9140 -5.3101
I 4.0606 -11.4800 1.6347
I 0.0959 -7.0906 -4.0219
I 8.3106 -12.3523 3.0992
I 4.6802 -16.5787 2.6784
I 3.7264 -2.8643 -3.6011
Li 2.6665 -8.1170 -4.8679
Li 5.7400 -11.3259 3.9452
```